1.
Cs2MoF7, optimized geometry, DFT GGA+U; total magnetization = 2.00 μB per cell; uncorrected energy = -4.853 eV/atom
1.0
6.100 0.000 2.975
2.708 7.623 2.188
-0.380 -0.939 8.521
Cs F Mo
4 14 2
Cartesian
5.828 6.316 10.097 Cs
2.600 0.369 3.587 Cs
5.592 2.974 5.195 Cs
2.836 3.711 8.490 Cs
2.031 1.380 6.454 F
7.408 5.662 5.156 F
2.035 4.867 5.837 F
1.020 1.023 8.528 F
3.034 6.946 8.443 F
4.804 0.586 11.107 F
4.394 1.202 8.890 F
4.034 5.483 4.794 F
6.397 5.304 7.231 F
5.394 -0.262 5.241 F
3.624 6.099 2.578 F
5.913 3.080 10.281 F
2.515 3.604 3.403 F
6.393 1.818 7.848 F
2.266 5.483 3.932 Mo
6.162 1.202 9.752 Mo

2.
Cs5Mo2F12, optimized geometry, DFT GGA+U; total magnetization = 5.00 μB per cell; uncorrected energy = -4.726 eV/atom
1.0
-4.482 5.447 1.434
-5.672 -1.866 -5.540
-6.478 -4.515 1.998
F Mo Cs
12 2 5
Cartesian
-8.286 2.497 -2.351 F
-6.887 -2.372 -1.570 F
-7.906 -1.981 -3.883 F
-11.165 1.032 -2.737 F
-5.108 -0.786 -2.728 F
-11.524 -0.148 0.620 F
-4.406 4.384 1.069 F
-8.347 -3.431 0.243 F
-9.745 1.438 -0.537 F
-8.727 1.047 1.776 F
-12.227 -5.318 -3.176 F
-5.467 -1.966 0.629 F
-10.758 1.597 1.540 Mo
-5.874 -2.531 -3.648 Mo
-7.387 3.881 0.573 Cs
-9.977 -1.316 -1.530 Cs
-2.241 2.723 0.717 Cs
-9.245 -4.815 -2.681 Cs
-6.656 0.382 -0.578 Cs

3.
CsMo2F8, optimized geometry, DFT GGA+U; total magnetization = 5.00 μB per cell; uncorrected energy = -5.177 eV/atom
1.0
-3.482 -2.303 -0.591
2.987 -4.979 3.069
-3.313 4.416 3.559
F Mo Cs
8 2 1
Cartesian
-0.986 -0.858 3.803 F
-2.540 -4.075 4.737 F
0.695 -1.719 1.148 F
-4.503 -1.147 4.889 F
-3.170 0.455 3.117 F
-2.822 -2.008 2.234 F
-0.638 -3.322 2.920 F
-1.268 1.208 1.301 F
-4.693 -1.022 2.805 Mo
0.885 -1.844 3.233 Mo
-1.741 -1.152 -0.295 Cs

4.
Cs3MoF7, optimized geometry, DFT GGA+U; total magnetization = 4.13 μB per cell; uncorrected energy = -4.820 eV/atom
1.0
-5.011 -1.048 -3.928
5.077 -4.851 -5.183
-2.111 -7.116 4.591
F Cs Mo
14 6 2
Cartesian
-1.023 -6.507 -2.260 F
-2.506 -0.524 -1.964 F
1.771 -4.029 -3.527 F
2.090 -8.900 -2.634 F
-3.817 -8.985 -0.992 F
-1.025 -4.614 -5.720 F
1.584 -9.177 0.428 F
3.544 -6.484 -2.792 F
-1.020 -8.400 1.200 F
-4.135 -4.114 -1.886 F
1.382 -2.790 -1.019 F
-1.338 -3.530 0.307 F
-0.578 -5.483 2.200 F
-0.707 -9.484 -4.826 F
0.944 -6.624 -4.737 Cs
1.483 -5.983 -0.296 Cs
-2.989 -6.390 0.217 Cs
-1.354 -3.386 -2.670 Cs
0.000 0.000 0.000 Cs
-0.691 -9.628 -1.850 Cs
2.538 -2.425 -2.592 Mo
-1.055 -3.558 2.296 Mo

5.
Cs3MoF8, optimized geometry, DFT GGA+U; total magnetization = 1.00 μB per cell; uncorrected energy = -4.717 eV/atom
1.0
6.142 -0.007 -3.216
-3.891 5.716 -0.500
-0.005 0.007 6.933
Cs F Mo
3 8 1
Cartesian
-1.948 2.862 3.216 Cs
0.151 4.286 -0.250 Cs
2.095 1.431 3.466 Cs
0.866 4.245 2.808 F
-2.758 4.052 6.182 F
-3.384 4.972 1.351 F
-1.006 1.479 5.899 F
1.875 0.744 -0.409 F
4.476 0.323 -2.092 F
0.304 1.671 1.124 F
-3.671 5.394 4.435 F
0.000 0.000 0.000 Mo

6.
Cs2MoF5, optimized geometry, DFT GGA+U; total magnetization = 3.00 μB per cell; energy above the most stable polymorph in this dataset = 140.7 meV per atom
1.0
6.915 -0.001 -0.001
0.000 6.915 -0.001
-3.458 -3.458 4.173
Cs F Mo
2 5 1
Cartesian
-0.002 3.457 2.063 Cs
3.457 -0.002 2.063 Cs
5.452 5.452 0.093 F
1.462 5.453 0.095 F
1.463 1.463 0.096 F
5.453 1.462 0.095 F
3.459 3.459 2.071 F
3.457 3.457 4.072 Mo

7.
CsMo2F6, optimized geometry, DFT GGA+U; total magnetization = 5.00 μB per cell; uncorrected energy = -5.223 eV/atom
1.0
-2.006 -1.043 -5.502
-2.401 -2.856 4.632
-4.210 4.612 0.661
F Mo Cs
6 2 1
Cartesian
-3.682 2.038 2.126 F
-2.930 -0.282 3.168 F
-2.678 0.872 -3.281 F
-5.613 0.596 -0.112 F
-3.005 0.118 -0.096 F
-3.538 2.697 -1.560 F
-4.375 0.055 1.585 Mo
-4.243 0.659 -1.793 Mo
0.000 0.000 0.000 Cs

8.
CsMoNF2, optimized geometry, DFT GGA+U; total magnetization = 2.00 μB per cell; energy above the most stable polymorph in this dataset = 0.0 meV per atom
1.0
4.538 0.000 0.000
0.000 4.538 0.000
0.000 0.000 4.026
N Cs Mo F
1 1 1 2
Cartesian
0.000 0.000 2.013 N
2.269 2.269 2.013 Cs
0.000 0.000 0.000 Mo
0.000 2.269 0.000 F
2.269 0.000 0.000 F

9.
CsMoNF2, optimized geometry, DFT GGA+U; total magnetization = 6.87 μB per cell; energy above the most stable polymorph in this dataset = 1926.0 meV per atom
1.0
5.324 0.000 0.000
0.000 5.324 0.000
0.000 0.000 4.733
Cs N F Mo
1 1 2 1
Cartesian
0.000 0.000 0.000 Cs
0.000 0.000 2.367 N
0.000 2.662 0.000 F
2.662 0.000 0.000 F
2.662 2.662 2.367 Mo

10.
Cs2NaMoF6, optimized geometry, DFT GGA+U; total magnetization = 3.00 μB per cell; energy above the most stable polymorph in this dataset = 0.0 meV per atom
1.0
-5.396 0.467 3.370
-4.888 3.418 -2.263
-5.287 -2.944 -2.019
F Na Cs Mo
6 1 2 1
Cartesian
-6.459 -1.343 -1.286 F
-9.112 2.283 0.374 F
-6.517 0.469 1.576 F
-9.054 0.472 -2.488 F
-9.324 -1.095 0.503 F
-6.247 2.035 -1.415 F
-7.786 0.470 -0.456 Na
-11.679 0.705 -0.684 Cs
-3.893 0.235 -0.228 Cs
0.000 0.000 0.000 Mo

11.
Cs2NaMoF6, optimized geometry, DFT GGA+U; total magnetization = 6.00 μB per cell; energy above the most stable polymorph in this dataset = 9.4 meV per atom
1.0
6.473 0.000 0.000
3.237 5.606 0.000
3.237 1.869 10.620
F Na Mo Cs
12 2 2 4
Cartesian
6.473 2.073 6.604 F
6.473 1.728 1.203 F
4.733 2.733 9.416 F
5.032 4.570 6.604 F
8.214 2.733 9.416 F
7.915 2.905 4.015 F
5.032 2.905 4.015 F
7.915 4.570 6.604 F
6.473 5.402 4.015 F
6.473 5.747 9.416 F
8.214 4.742 1.203 F
4.733 4.742 1.203 F
6.473 3.737 8.387 Na
6.473 3.737 2.233 Na
0.000 0.000 0.000 Mo
6.473 3.737 5.310 Mo
9.710 5.606 4.072 Cs
3.237 1.869 6.548 Cs
3.237 1.869 1.662 Cs
9.710 5.606 8.958 Cs

12.
Cs2NbMoF6, optimized geometry, DFT GGA+U; total magnetization = 5.00 μB per cell; uncorrected energy = -5.208 eV/atom
1.0
-4.534 3.109 3.306
-3.876 -5.084 -0.536
-2.562 -2.641 5.194
Mo Cs F Nb
1 2 6 1
Cartesian
0.000 0.000 0.000 Mo
-5.651 -0.260 4.942 Cs
-5.322 -4.356 3.022 Cs
-4.369 1.048 2.340 F
-3.366 -1.832 3.330 F
-7.606 -2.784 4.634 F
-2.115 -0.497 0.697 F
-6.295 -1.478 2.073 F
-4.042 -3.023 0.431 F
-4.205 -0.987 1.385 Nb

13.
CsNiMoF6, optimized geometry, DFT GGA+U; total magnetization = 5.00 μB per cell; uncorrected energy = -4.949 eV/atom
1.0
5.575 0.002 -0.010
2.788 4.802 -0.007
0.037 0.001 6.536
Mo Ni F Cs
1 1 6 1
Cartesian
5.593 3.199 3.257 Mo
2.806 1.605 3.262 Ni
1.093 1.767 2.147 F
1.805 3.000 4.377 F
4.520 1.769 4.378 F
3.807 2.999 2.145 F
2.091 0.042 4.378 F
3.521 0.040 2.149 F
2.825 4.799 6.529 Cs

14.
Cs2NiMoF6, optimized geometry, DFT GGA+U; total magnetization = 4.00 μB per cell; uncorrected energy = -4.664 eV/atom
1.0
5.970 0.000 0.000
0.000 5.970 0.000
2.985 2.985 5.225
F Cs Mo Ni
6 2 1 1
Cartesian
2.985 2.985 3.132 F
1.500 4.470 0.000 F
4.470 1.500 0.000 F
5.970 5.970 2.093 F
4.470 4.470 0.000 F
1.500 1.500 0.000 F
2.985 5.970 2.613 Cs
5.970 2.985 2.613 Cs
0.000 0.000 0.000 Mo
2.985 2.985 0.000 Ni

15.
Cs2MoOF5, optimized geometry, DFT GGA+U; total magnetization = 1.00 μB per cell; uncorrected energy = -5.191 eV/atom
1.0
6.582 -0.071 -0.103
-3.188 5.759 0.103
-3.188 -1.955 5.418
F O Cs Mo
5 1 2 1
Cartesian
-1.279 2.977 4.321 F
-3.228 -0.288 4.321 F
-3.228 4.140 1.269 F
-1.310 0.782 1.135 F
1.406 0.804 1.167 F
-5.079 3.031 4.399 O
0.143 -0.085 4.004 Cs
0.143 3.772 1.346 Cs
-6.280 3.748 5.439 Mo

16.
Cs2MoO2F4, optimized geometry, DFT GGA+U; total magnetization = 0.07 μB per cell; uncorrected energy = -5.226 eV/atom
1.0
-1.730 -4.861 0.281
5.333 -2.244 -2.769
5.032 -1.772 3.561
F O Mo Cs
4 2 1 2
Cartesian
4.547 -5.641 2.400 F
3.922 -2.975 2.171 F
4.088 -3.236 -1.327 F
4.713 -5.902 -1.098 F
0.914 -2.056 0.197 O
7.721 -6.821 0.876 O
-0.865 -2.430 0.140 Mo
6.639 -3.655 0.588 Cs
1.996 -5.222 0.485 Cs

17.
Cs5MoO4F2, optimized geometry, DFT GGA+U; total magnetization = 1.00 μB per cell; uncorrected energy = -4.888 eV/atom
1.0
7.045 0.000 0.000
-3.523 5.588 0.000
0.000 0.000 8.506
Cs O F Mo
5 4 2 1
Cartesian
2.795 3.563 2.021 Cs
2.813 0.000 4.253 Cs
2.795 3.563 6.485 Cs
-0.728 2.025 2.021 Cs
-0.728 2.025 6.485 Cs
3.972 0.000 6.930 O
1.938 1.590 0.000 O
3.972 0.000 1.576 O
-1.584 3.998 0.000 O
4.663 3.159 4.253 F
1.140 2.429 4.253 F
2.944 0.000 0.000 Mo

18.
Cs3Mo2O6F3, optimized geometry, DFT GGA+U; total magnetization = 0.33 μB per cell; uncorrected energy = -5.854 eV/atom
1.0
6.503 0.000 0.000
-3.252 5.632 0.000
0.000 0.000 15.869
O F Cs Mo
12 6 6 4
Cartesian
1.403 0.810 1.562 O
3.252 4.012 6.372 O
1.403 0.810 6.372 O
5.100 0.810 1.562 O
-1.848 4.822 14.307 O
5.100 0.810 6.372 O
1.848 4.822 9.497 O
1.848 4.822 14.307 O
0.000 1.620 14.307 O
-1.848 4.822 9.497 O
0.000 1.620 9.497 O
3.252 4.012 1.562 O
0.000 1.444 3.967 F
-2.001 4.910 3.967 F
1.250 0.722 11.902 F
2.001 4.910 3.967 F
3.252 4.188 11.902 F
5.253 0.722 11.902 F
0.000 3.755 11.902 Cs
3.252 1.877 8.814 Cs
3.252 1.877 3.967 Cs
3.252 1.877 14.990 Cs
0.000 3.755 7.055 Cs
0.000 3.755 0.879 Cs
0.000 0.000 13.597 Mo
0.000 0.000 2.273 Mo
0.000 0.000 5.662 Mo
0.000 0.000 10.207 Mo

19.
CsMoPbF6, optimized geometry, DFT GGA+U; total magnetization = 6.00 μB per cell; uncorrected energy = -5.139 eV/atom
1.0
-6.836 -4.220 2.009
1.297 -5.006 -6.102
5.776 1.330 5.379
Mo F Pb Cs
2 12 2 2
Cartesian
-2.770 -4.613 -2.046 Mo
-3.418 -2.110 1.005 Mo
-2.088 -6.255 -3.176 F
2.325 -1.642 4.462 F
4.049 -4.059 -0.828 F
-1.377 -2.335 1.399 F
1.614 -5.562 -0.113 F
-0.784 -4.624 -1.392 F
1.797 -4.655 -3.663 F
-1.560 -3.241 4.948 F
1.021 -3.273 2.678 F
3.456 -1.770 1.962 F
-3.812 -3.838 2.114 F
-3.219 -6.127 -0.676 F
-0.530 -1.445 3.694 Pb
2.888 0.665 2.689 Pb
1.210 -2.219 -0.544 Cs
-0.973 -5.677 1.829 Cs

20.
CsMoPb2F8, optimized geometry, DFT GGA+U; total magnetization = 3.00 μB per cell; uncorrected energy = -5.023 eV/atom
1.0
4.915 -0.373 0.335
-0.437 5.886 0.130
0.640 0.229 8.132
Cs F Pb Mo
1 8 2 1
Cartesian
0.320 0.115 4.066 Cs
-0.198 4.401 1.656 F
3.341 4.629 8.371 F
1.776 1.114 0.226 F
2.916 1.605 4.412 F
0.852 4.785 6.760 F
2.201 4.137 4.185 F
4.266 0.958 1.837 F
5.315 1.342 6.941 F
2.666 2.740 2.254 Pb
2.452 3.003 6.343 Pb
0.000 0.000 0.000 Mo